(1)
# Sm3Fe5H12, optimized geometry, DFT PBE
# Total moment   5.05 μB/f.u.
# VASP energy   -4.972 eV/atom
data_Sm3Fe5H12
_chemical_formula_sum 'Sm24 Fe40 H96'
_cell_length_a 11.369
_cell_length_b 11.369
_cell_length_c 11.369
_cell_angle_alpha 90.00
_cell_angle_beta 90.00
_cell_angle_gamma 90.00
_space_group_name_H-M_alt 'I a -3 d'
_space_group_IT_number 230
_space_group_name_Hall '-I 4bd 2c 3'
loop_
_atom_site_label
_atom_site_type_symbol
_atom_site_fract_x
_atom_site_fract_y
_atom_site_fract_z
_atom_site_occupancy
Sm1 Sm 0.000 0.250 0.125 1
Fe1 Fe 0.000 0.000 0.000 1
Fe2 Fe 0.000 0.250 0.375 1
H1 H 0.035 0.049 0.636 1

***

(2)
# Sm2FeH, optimized geometry, DFT PBE
# Total moment   2.45 μB/f.u.
# VASP energy   -4.878 eV/atom
data_Sm2FeH
_chemical_formula_sum 'Sm6 Fe3 H3'
_cell_length_a 3.2847
_cell_length_b 3.2847
_cell_length_c 25.6729
_cell_angle_alpha 90.00
_cell_angle_beta 90.00
_cell_angle_gamma 120.00
_space_group_name_H-M_alt 'R -3 m'
_space_group_IT_number 166
_space_group_name_Hall '-R 3 2"'
loop_
_atom_site_label
_atom_site_type_symbol
_atom_site_fract_x
_atom_site_fract_y
_atom_site_fract_z
_atom_site_occupancy
Sm1 Sm 0.0000 0.0000 0.1055 1
Fe1 Fe 0.0000 0.0000 0.0000 1
H1 H 0.0000 0.0000 0.5000 1

***

(3)
# FeSnH3, optimized geometry, DFT PBE
# Total moment   3.54 μB/f.u.
# VASP energy   -3.475 eV/atom
data_FeSnH3
_chemical_formula_sum 'Fe1 Sn1 H3'
_cell_length_a 3.937
_cell_length_b 3.937
_cell_length_c 3.937
_cell_angle_alpha 90.00
_cell_angle_beta 90.00
_cell_angle_gamma 90.00
_space_group_name_H-M_alt 'P m -3 m'
_space_group_IT_number 221
_space_group_name_Hall '-P 4 2 3'
loop_
_atom_site_label
_atom_site_type_symbol
_atom_site_fract_x
_atom_site_fract_y
_atom_site_fract_z
_atom_site_occupancy
Fe1 Fe 0.000 0.000 0.000 1
Sn1 Sn 0.500 0.500 0.500 1
H1 H 0.000 0.500 0.500 1

***

> The highest VASP energy belongs to which entry?

FeSnH3

***

> Which formula does entry 1 have?

Sm3Fe5H12

***

> The lowest total moment belongs to which entry?

Sm2FeH

***

> What is the VASP energy in the first record?

-4.972 eV/atom